(1)
The following is a PBE calculation of a geometry-optimized K2MnSb structure, from the Alexandria database.

Geometry as CIF:
```
data_K2MnSb
_chemical_formula_sum 'K2 Mn1 Sb1'
_cell_length_a 9.667
_cell_length_b 9.667
_cell_length_c 9.667
_cell_angle_alpha 28.26
_cell_angle_beta 28.26
_cell_angle_gamma 28.26
_symmetry_space_group_name_H-M 'P 1'
_symmetry_Int_Tables_number 1
loop_
_symmetry_equiv_pos_as_xyz
'x,y,z'
loop_
_atom_site_label
_atom_site_type_symbol
_atom_site_fract_x
_atom_site_fract_y
_atom_site_fract_z
K1 K 0.000 0.000 0.000
K2 K 0.178 0.178 0.178
Mn1 Mn 0.422 0.422 0.422
Sb1 Sb 0.756 0.756 0.756
```

Output
- D(E_F) (states/eV per cell) = 3.1
- uncorrected formation energy (eV/atom) = -0.0227
- crystal system = trigonal
- final energy (eV/atom) = -3.89

=====

(2)
The following is a PBE calculation of a geometry-optimized KMn2Sb structure, from the Alexandria database.

Geometry as CIF:
```
data_KMn2Sb
_chemical_formula_sum 'K1 Mn2 Sb1'
_cell_length_a 3.148
_cell_length_b 4.783
_cell_length_c 7.009
_cell_angle_alpha 90.00
_cell_angle_beta 97.73
_cell_angle_gamma 90.00
_symmetry_space_group_name_H-M 'P 1'
_symmetry_Int_Tables_number 1
loop_
_symmetry_equiv_pos_as_xyz
'x,y,z'
loop_
_atom_site_label
_atom_site_type_symbol
_atom_site_fract_x
_atom_site_fract_y
_atom_site_fract_z
K1 K 0.000 0.000 0.000
Mn1 Mn 0.292 0.500 0.656
Mn2 Mn 0.708 0.500 0.344
Sb1 Sb 0.500 0.000 0.500
```

Output
- D(E_F) (states/eV per cell) = 2.6
- uncorrected formation energy (eV/atom) = 0.5233
- crystal system = monoclinic
- final energy (eV/atom) = -5.37

=====

(3)
The following is a PBE calculation of a geometry-optimized KMn2Sb structure, from the Alexandria database.

Geometry as CIF:
```
data_KMn2Sb
_chemical_formula_sum 'K1 Mn2 Sb1'
_cell_length_a 4.544
_cell_length_b 4.544
_cell_length_c 6.907
_cell_angle_alpha 109.31
_cell_angle_beta 109.31
_cell_angle_gamma 60.01
_symmetry_space_group_name_H-M 'P 1'
_symmetry_Int_Tables_number 1
loop_
_symmetry_equiv_pos_as_xyz
'x,y,z'
loop_
_atom_site_label
_atom_site_type_symbol
_atom_site_fract_x
_atom_site_fract_y
_atom_site_fract_z
K1 K 0.000 0.000 0.000
Mn1 Mn 0.487 0.487 0.461
Mn2 Mn 0.815 0.815 0.447
Sb1 Sb 0.192 0.192 0.576
```

Output
- D(E_F) (states/eV per cell) = 4.5
- uncorrected formation energy (eV/atom) = 0.3181
- crystal system = monoclinic
- final energy (eV/atom) = -5.57

=====

(4)
The following is a PBE calculation of a geometry-optimized KMn2Sb structure, from the Alexandria database.

Geometry as CIF:
```
data_KMn2Sb
_chemical_formula_sum 'K1 Mn2 Sb1'
_cell_length_a 3.555
_cell_length_b 3.689
_cell_length_c 8.101
_cell_angle_alpha 90.00
_cell_angle_beta 90.00
_cell_angle_gamma 90.00
_symmetry_space_group_name_H-M 'P 1'
_symmetry_Int_Tables_number 1
loop_
_symmetry_equiv_pos_as_xyz
'x,y,z'
loop_
_atom_site_label
_atom_site_type_symbol
_atom_site_fract_x
_atom_site_fract_y
_atom_site_fract_z
K1 K 0.000 0.000 0.000
Mn1 Mn 0.500 0.500 0.342
Mn2 Mn 0.500 0.500 0.658
Sb1 Sb 0.000 0.000 0.500
```

Output
- D(E_F) (states/eV per cell) = 3.4
- uncorrected formation energy (eV/atom) = 0.5556
- crystal system = orthorhombic
- final energy (eV/atom) = -5.33

=====

(5)
The following is a PBE calculation of a geometry-optimized KMn2Sb structure, from the Alexandria database.

Geometry as CIF:
```
data_KMn2Sb
_chemical_formula_sum 'K1 Mn2 Sb1'
_cell_length_a 3.302
_cell_length_b 3.432
_cell_length_c 8.209
_cell_angle_alpha 90.00
_cell_angle_beta 90.00
_cell_angle_gamma 90.00
_symmetry_space_group_name_H-M 'P 1'
_symmetry_Int_Tables_number 1
loop_
_symmetry_equiv_pos_as_xyz
'x,y,z'
loop_
_atom_site_label
_atom_site_type_symbol
_atom_site_fract_x
_atom_site_fract_y
_atom_site_fract_z
K1 K 0.000 0.000 0.000
Mn1 Mn 0.000 0.000 0.500
Mn2 Mn 0.500 0.500 0.336
Sb1 Sb 0.500 0.500 0.669
```

Output
- D(E_F) (states/eV per cell) = 2.6
- uncorrected formation energy (eV/atom) = 0.3433
- crystal system = orthorhombic
- final energy (eV/atom) = -5.55

=====

(6)
The following is a PBE calculation of a geometry-optimized K2MnSb structure, from the Alexandria database.

Geometry as CIF:
```
data_K2MnSb
_chemical_formula_sum 'K2 Mn1 Sb1'
_cell_length_a 12.186
_cell_length_b 12.186
_cell_length_c 12.186
_cell_angle_alpha 16.99
_cell_angle_beta 16.99
_cell_angle_gamma 16.99
_symmetry_space_group_name_H-M 'P 1'
_symmetry_Int_Tables_number 1
loop_
_symmetry_equiv_pos_as_xyz
'x,y,z'
loop_
_atom_site_label
_atom_site_type_symbol
_atom_site_fract_x
_atom_site_fract_y
_atom_site_fract_z
K1 K 0.246 0.246 0.246
K2 K 0.754 0.754 0.754
Mn1 Mn 0.000 0.000 0.000
Sb1 Sb 0.500 0.500 0.500
```

Output
- D(E_F) (states/eV per cell) = 4.2
- uncorrected formation energy (eV/atom) = 0.5433
- crystal system = trigonal
- final energy (eV/atom) = -3.33

=====

(7)
The following is a PBE calculation of a geometry-optimized K2MnSb structure, from the Alexandria database.

Geometry as CIF:
```
data_K2MnSb
_chemical_formula_sum 'K2 Mn1 Sb1'
_cell_length_a 5.862
_cell_length_b 5.862
_cell_length_c 4.061
_cell_angle_alpha 90.00
_cell_angle_beta 90.00
_cell_angle_gamma 90.00
_symmetry_space_group_name_H-M 'P 1'
_symmetry_Int_Tables_number 1
loop_
_symmetry_equiv_pos_as_xyz
'x,y,z'
loop_
_atom_site_label
_atom_site_type_symbol
_atom_site_fract_x
_atom_site_fract_y
_atom_site_fract_z
K1 K 0.000 0.500 0.000
K2 K 0.500 0.000 0.000
Mn1 Mn 0.000 0.000 0.500
Sb1 Sb 0.500 0.500 0.500
```

Output
- D(E_F) (states/eV per cell) = 1.7
- uncorrected formation energy (eV/atom) = 0.4423
- crystal system = tetragonal
- final energy (eV/atom) = -3.43

=====

(8)
The following is a PBE calculation of a geometry-optimized KMn2Sb structure, from the Alexandria database.

Geometry as CIF:
```
data_KMn2Sb
_chemical_formula_sum 'K1 Mn2 Sb1'
_cell_length_a 5.095
_cell_length_b 5.095
_cell_length_c 5.095
_cell_angle_alpha 60.00
_cell_angle_beta 60.00
_cell_angle_gamma 60.00
_symmetry_space_group_name_H-M 'P 1'
_symmetry_Int_Tables_number 1
loop_
_symmetry_equiv_pos_as_xyz
'x,y,z'
loop_
_atom_site_label
_atom_site_type_symbol
_atom_site_fract_x
_atom_site_fract_y
_atom_site_fract_z
K1 K 0.000 0.000 0.000
Mn1 Mn 0.250 0.250 0.250
Mn2 Mn 0.500 0.500 0.500
Sb1 Sb 0.750 0.750 0.750
```

Output
- D(E_F) (states/eV per cell) = 4.9
- uncorrected formation energy (eV/atom) = 0.7125
- crystal system = cubic
- final energy (eV/atom) = -5.18